VASP calculation (PBE) on ErRuC after structural relaxation.

Size of the total moment in μB per atom: 0.000
Formation enthalpy at 0 K in eV per atom: -0.206
Total energy in eV per formula unit: -23.68
Distance to the lowest polymorph of the same formula in meV per atom: 25

Cell lengths 3.339, 3.339, 4.745 Å; angles 90.00, 90.00, 120.00 degrees
Positions (direct):
Er 0.000 0.000 0.000
Ru 0.333 0.667 0.478
C 0.667 0.333 0.331